VASP calculation (PBE) on a relaxed structure of PSI3.

POSCAR file:
```
PSI3
1.0
5.515 0.000 0.000
0.000 5.515 0.000
0.000 0.000 5.515
S P I
1 1 3
direct
0.500 0.500 0.500
0.000 0.000 0.000
0.500 0.000 0.000
0.000 0.500 0.000
0.000 0.000 0.500
```

Properties
**Energy relative to the elements, uncorrected**: 666 meV per atom
**Spin magnetization**: 2.06 μB per cell
**Excess energy over the best structure of this formula in the dataset**: 510.9 meV per atom
**Electronic total energy**: -2.1711 eV/atom